1.
ZnCdN2: relaxed, PBE.

Cell: 5.7444 5.7444 5.7444 Å, 90.00 90.00 90.00°
Space group Fm-3m (No. 225)
Asymmetric unit:
1 Zn 0.0000 0.0000 0.0000 x4
2 Cd 0.0000 0.0000 0.5000 x4
3 N 0.2500 0.2500 0.2500 x8

Computed properties:
* density of states at the Fermi level: 5.5 states/eV per cell
* raw total energy: -13.52 eV/f.u.
* spin magnetization: 8.001 μB per cell
* energy above the most stable polymorph in this dataset: 1.85 eV per formula unit


2.
ZnCdN2: relaxed, PBE.

Cell: 3.1770 3.1770 18.7032 Å, 90.00 90.00 120.00°
Space group R-3m (No. 166, hexagonal axes)
Asymmetric unit:
1 Zn 0.0000 0.0000 0.0000 x3
2 Cd 0.0000 0.0000 0.5000 x3
3 N 0.0000 0.0000 0.3882 x6

Computed properties:
* density of states at the Fermi level: 8.9 states/eV per cell
* raw total energy: -14.63 eV/f.u.
* spin magnetization: 0.000 μB per cell
* energy above the most stable polymorph in this dataset: 0.74 eV per formula unit


3.
Zn2CdN: relaxed, PBE.

Cell: 3.2079 3.2079 22.6560 Å, 90.00 90.00 120.00°
Space group R-3m (No. 166, hexagonal axes)
Asymmetric unit:
1 Zn 0.0000 0.0000 0.1209 x6
2 Cd 0.0000 0.0000 0.0000 x3
3 N 0.0000 0.0000 0.5000 x3

Computed properties:
* density of states at the Fermi level: 5.9 states/eV per cell
* raw total energy: -10.59 eV/f.u.
* spin magnetization: 0.000 μB per cell
* energy above the most stable polymorph in this dataset: 0.32 eV per formula unit